The following is a GGA-PBEsol calculation of a geometry-optimized Ba5Li structure, from the Alexandria database.

a b c (Å): 14.7486 4.3713 10.4641
angles (deg): 90.00 111.30 90.00
Space group C2/m (No. 12)
Asymmetric unit:
Ba 0.0000 0.0000 0.0000 [2 per cell]
Ba 0.1361 0.5000 0.3647 [4 per cell]
Ba 0.1709 0.5000 0.7957 [4 per cell]
Li 0.0000 0.0000 0.5000 [2 per cell]

## Properties
* density: 3.665 Mg/m³
* E_form: 0.037 eV per atom
* total magnetic moment: 0.000 μB/atom
* ΔE to the lowest computed polymorph: 10 meV per atom
* DFT total energy: -2.0820 eV per atom